(1)
Ag2Au PBE optimized geometry; energy above the lowest structure with this stoichiometry = 0.005 eV per atom; space group = Pnma; V = 215.2 Å³/cell; raw total energy = -3.03 eV per atom; formation energy = -0.03 eV/atom
1.0
-4.982 2.926 -1.449
-2.190 -2.544 2.392
1.183 5.388 6.813
Ag Au
8 4
Cartesian
-0.877 1.079 2.120
-5.111 4.691 5.636
-2.620 3.229 6.362
-3.413 -0.360 1.818
-3.368 2.541 1.394
-2.576 6.131 5.937
-0.479 2.873 4.392
-5.509 2.898 3.364
-2.977 4.342 3.668
-0.093 4.670 6.657
-5.895 1.100 1.099
-3.011 1.428 4.088



(2)
TbEr2C3 PBE optimized geometry; space group = Imma; V = 214.2 Å³/cell; raw total energy = -6.99 eV per atom; formation energy = -0.08 eV/atom
1.0
-5.315 0.370 -1.821
-1.746 -4.855 -4.596
-4.178 -4.906 2.493
C Er Tb
6 4 2
Cartesian
-4.747 -2.268 0.336
-3.611 -4.835 -1.274
-2.008 0.140 -0.688
-7.628 -4.556 -2.650
-2.089 -2.453 1.246
-3.307 0.230 -1.133
-5.985 -3.950 -0.744
-7.517 -5.248 -5.241
-5.254 -5.441 -3.181
-3.722 -4.143 1.316
-8.500 -7.045 -2.736
-2.739 -2.346 -1.188



(3)
GdTmCoOs PBE optimized geometry; space group = F-43m; V = 77.0 Å³/cell; raw total energy = -9.35 eV per atom; formation energy = -0.13 eV/atom
1.0
-3.794 -2.584 -1.318
0.613 -4.148 -2.285
-0.974 -4.115 2.219
Tm Gd Os Co
1 1 1 1
Cartesian
-2.077 -5.424 -0.692
0.000 0.000 0.000
-1.039 -2.712 -0.346
-3.116 -8.135 -1.037



(4)
ErHfPd4 PBE optimized geometry; space group = Pnma; V = 446.3 Å³/cell; raw total energy = -6.63 eV per atom; formation energy = -0.75 eV/atom
1.0
-1.483 -1.080 3.662
-6.029 -1.296 -2.823
4.510 -15.191 -2.655
Er Hf Pd
4 4 16
Cartesian
-0.518 -3.700 -0.156
-3.174 -5.555 -1.778
0.173 -12.013 -0.038
-2.483 -13.867 -1.660
-0.138 -8.261 0.943
-2.864 -9.307 -2.759
2.171 -15.464 -2.537
-5.173 -2.103 0.721
-1.854 -10.013 -0.269
-5.879 -2.418 -1.948
-0.612 -15.015 -3.532
-5.541 -4.693 -0.192
-3.959 -11.483 -1.554
-3.207 -2.860 -0.997
-2.390 -2.552 1.715
-1.094 -11.437 -2.671
-1.148 -7.554 -1.548
0.205 -14.708 -0.820
2.878 -15.150 0.132
0.967 -9.530 -1.275
-1.907 -6.131 0.855
2.540 -12.875 -1.624
-3.968 -8.037 -0.542
0.957 -6.085 -0.262



(5)
TlCo2WCl PBE optimized geometry; space group = P4/mmm; V = 101.5 Å³/cell; formation energy (no corrections) = 1027 meV per atom; raw total energy = -5.25 eV per atom
1.0
-2.428 1.010 -3.850
-3.428 -2.832 1.419
-2.030 3.566 2.215
Co Cl W Tl
2 1 1 1
Cartesian
-1.214 0.505 -1.925
-1.015 1.783 1.108
-1.714 -1.416 0.709
0.000 0.000 0.000
-3.943 0.872 -0.108



(6)
CaCrGa PBE optimized geometry; space group = C2/m; V = 240.7 Å³/cell; raw total energy = -4.82 eV per atom; formation energy = 0.07 eV/atom
1.0
-3.599 2.535 -5.114
1.098 -3.757 -2.634
-3.068 -5.755 6.929
Ca Ga Cr
4 4 4
Cartesian
-2.961 -5.451 2.316
-2.608 -1.526 -3.136
-1.976 -0.696 0.169
-4.691 -2.525 1.646
-1.659 -3.697 0.357
-3.742 -4.696 5.138
-3.910 -3.280 -1.176
-2.925 1.476 -3.324
-5.095 -0.861 -0.896
-1.572 -2.360 2.710
-3.012 0.139 -5.677
-2.557 -7.116 4.857



(7)
ZrAgSbW2 PBE optimized geometry; space group = P4/mmm; V = 129.0 Å³/cell; formation energy (no corrections) = 2091 meV per atom; raw total energy = -6.19 eV per atom
1.0
4.897 0.000 0.000
0.000 5.380 0.000
0.000 0.000 4.897
Ag Zr Sb W
1 1 1 2
Cartesian
2.449 2.690 2.449
0.000 0.000 0.000
0.000 2.690 0.000
2.449 0.000 0.000
0.000 0.000 2.449



(8)
NiP2PtCl PBE optimized geometry; energy above the lowest structure with this stoichiometry = 0.000 eV per atom; space group = P4/mmm; V = 85.8 Å³/cell; formation energy (no corrections) = 684 meV per atom; raw total energy = -4.21 eV per atom
1.0
-4.213 -0.589 1.178
1.317 -1.997 3.710
0.038 3.883 2.077
P Pt Ni Cl
2 1 1 1
Cartesian
0.658 -0.998 1.855
-2.106 -0.295 0.589
-1.429 0.649 3.482
0.000 0.000 0.000
0.019 1.942 1.038



(9)
CaAuCl2 PBE optimized geometry; energy above the lowest structure with this stoichiometry = 0.088 eV per atom; space group = Cm; V = 104.4 Å³/cell; formation energy (no corrections) = -1138 meV per atom; raw total energy = -3.38 eV per atom
1.0
7.119 0.030 -0.020
5.983 3.857 -0.020
1.181 0.350 3.824
Cl Au Ca
2 1 1
Cartesian
1.530 0.454 3.722
3.733 1.107 0.875
7.386 2.191 1.827
9.956 2.954 3.075



(10)
AgHgW PBE optimized geometry; energy above the lowest structure with this stoichiometry = 0.038 eV per atom; space group = Fmm2; V = 54.7 Å³/cell; raw total energy = -4.72 eV per atom; formation energy = 0.65 eV/atom
1.0
7.631 0.002 -0.001
6.950 2.730 -0.001
0.680 -0.736 2.627
Hg W Ag
1 1 1
Cartesian
5.305 0.418 1.752
9.902 1.564 0.883
0.735 -0.722 2.616



(11)
Ba6NiPd2Br3 PBE optimized geometry; space group = C2/m; V = 453.7 Å³/cell; formation energy (no corrections) = -999 meV per atom; raw total energy = -3.73 eV per atom
1.0
7.906 -0.001 0.000
-3.951 6.847 0.000
-1.318 -2.283 8.382
Ba Ni Pd Br
6 1 2 3
Cartesian
-0.028 -0.049 6.584
2.580 0.000 1.796
2.664 4.613 1.799
3.926 2.329 6.587
0.056 4.564 6.587
-1.290 2.235 1.796
0.000 0.000 0.000
3.951 2.283 0.000
0.003 4.563 0.000
5.253 0.009 4.191
1.318 2.282 4.191
-2.617 4.555 4.191



(12)
Eu2ZnCl PBE optimized geometry; energy above the lowest structure with this stoichiometry = 0.055 eV per atom; space group = P4/mmm; V = 108.4 Å³/cell; formation energy (no corrections) = -854 meV per atom; raw total energy = -6.77 eV per atom
1.0
3.648 0.000 0.000
0.000 3.648 0.000
0.000 0.000 8.149
Zn Eu Cl
1 2 1
Cartesian
1.824 1.824 0.000
0.000 0.000 1.915
0.000 0.000 6.234
1.824 1.824 4.074



(13)
Ce5As PBE optimized geometry; space group = Cmmm; V = 145.2 Å³/cell; raw total energy = -6.05 eV per atom; formation energy = -0.33 eV/atom
1.0
-0.985 -3.740 2.413
-0.055 -2.411 -3.760
6.987 -0.138 2.639
Ce As
5 1
Cartesian
4.255 -3.997 -0.153
-0.520 -3.076 -0.674
2.281 -1.651 -1.628
1.691 -2.292 1.445
4.650 -0.898 0.507
0.000 0.000 0.000



(14)
Ce6Sb3Pb PBE optimized geometry; space group = P2_1/c; V = 632.2 Å³/cell; formation energy (no corrections) = -514 meV per atom; raw total energy = -5.68 eV per atom
1.0
-7.153 -2.980 -0.291
1.316 -2.338 -8.430
3.443 -8.086 2.780
Sb Ce Pb
6 12 2
Cartesian
-2.211 -3.631 -0.371
-3.701 -9.812 -1.466
-2.918 -2.659 -4.360
1.721 -4.043 1.390
-0.183 -9.773 -5.569
1.307 -3.591 -4.475
-0.559 -1.764 -2.592
-2.605 -6.958 -0.126
-3.956 -5.060 -2.626
-1.834 -11.640 -3.349
-1.237 -9.985 0.851
0.787 -4.752 -1.477
-3.181 -8.651 -4.464
-1.157 -3.419 -6.792
-3.427 -6.339 -6.830
1.562 -8.343 -3.315
0.211 -6.446 -5.815
1.033 -7.064 0.890
0.000 0.000 0.000
-1.197 -6.702 -2.970



(15)
LaNbCr PBE optimized geometry; energy above the lowest structure with this stoichiometry = 0.013 eV per atom; space group = C2/m; V = 265.5 Å³/cell; raw total energy = -7.83 eV per atom; formation energy = 0.38 eV/atom
1.0
5.278 0.000 0.002
0.000 3.336 0.000
-2.931 0.000 15.074
Cr La Nb
4 4 4
Cartesian
1.083 1.668 3.527
2.729 0.000 4.012
1.264 1.668 11.549
-0.382 0.000 11.064
2.517 1.668 6.499
1.295 0.000 1.040
-0.171 1.668 8.577
1.052 0.000 14.036
-1.579 1.668 12.492
3.925 1.668 2.584
-0.113 0.000 4.955
2.460 0.000 10.121



(16)
Pm2TlBiO5 PBE optimized geometry; space group = P4/mbm; V = 306.9 Å³/cell; formation energy (no corrections) = -2065 meV per atom; raw total energy = -6.57 eV per atom
1.0
-3.341 1.459 -5.418
4.867 -2.975 -3.802
-3.318 -5.983 0.435
Pm Tl O Bi
4 2 10 2
Cartesian
0.098 -5.766 -5.549
-1.890 -1.733 -3.237
1.035 -2.334 -5.202
-2.827 -5.166 -3.583
0.000 0.000 0.000
0.775 -4.479 -1.684
-0.633 -6.640 -3.560
-2.138 -5.983 -6.001
2.069 -4.286 -4.592
0.563 -3.628 -7.033
-3.861 -3.214 -4.193
-2.355 -3.871 -1.752
-0.896 -3.750 -4.393
0.346 -1.517 -2.784
-1.159 -0.859 -5.225
-1.671 0.729 -2.709
2.433 -1.488 -1.901
-1.659 -2.992 0.217



(17)
NbV5Ge6 PBE optimized geometry; space group = C2/m; V = 181.1 Å³/cell; raw total energy = -6.97 eV per atom; formation energy = -0.03 eV/atom
1.0
6.893 0.575 0.000
2.490 4.072 0.000
1.245 2.036 6.798
Ge V Nb
6 5 1
Cartesian
2.397 1.183 0.000
4.845 5.201 4.468
6.986 3.463 0.000
5.783 1.482 2.330
7.028 3.518 4.468
3.600 3.165 2.330
5.937 4.359 2.247
1.245 2.036 2.216
2.490 4.072 4.582
4.692 2.323 0.000
4.692 2.323 4.551
0.000 0.000 0.000



(18)
Th4Al2In5 PBE optimized geometry; space group = P2/m; V = 303.6 Å³/cell; raw total energy = -4.92 eV per atom; formation energy = -0.30 eV/atom
1.0
-4.391 0.811 -0.447
-0.995 -6.987 -2.905
-1.397 -3.034 8.211
Al In Th
2 5 4
Cartesian
-1.437 -7.557 0.396
-0.955 -2.463 4.909
-0.308 -1.296 0.675
-1.033 -4.934 1.190
-2.084 -8.724 4.630
-1.359 -5.087 4.115
-0.497 -3.493 -1.453
-2.992 -2.460 2.391
-3.606 -3.673 6.219
-3.178 -5.536 -1.361
-3.792 -6.749 2.468



(19)
Ho3Zr2Ag2 PBE optimized geometry; space group = Cmmm; V = 173.5 Å³/cell; raw total energy = -5.20 eV per atom; formation energy = 0.02 eV/atom
1.0
-3.005 -3.206 -1.945
1.597 0.237 -2.856
5.212 -9.763 2.105
Zr Ag Ho
2 2 3
Cartesian
1.532 -7.632 -1.660
2.271 -5.101 -1.037
0.284 -2.686 -1.948
3.519 -10.047 -0.749
-1.031 -5.605 -1.040
0.000 0.000 0.000
3.237 -7.364 1.200



(20)
MgBe PBE optimized geometry; energy above the lowest structure with this stoichiometry = 0.201 eV per atom; space group = P-3m1; V = 61.7 Å³/cell; raw total energy = -2.25 eV per atom; formation energy = 0.41 eV/atom
1.0
-2.057 -0.635 -1.964
1.936 -2.030 0.790
-5.119 -2.484 6.165
Mg Be
2 2
Cartesian
-2.378 -1.154 2.863
-3.416 -3.516 4.714
-0.498 -2.100 1.200
-0.177 -0.086 0.213